Record 1
12
Lattice="3.617 0.000 0.000 0.000 7.293 0.165 -1.808 -2.197 7.396" Properties=species:S:1:pos:R:3 comment="Sr3CaNp2N6 PBE relaxed" energy_ev_per_atom=-7.931 dos_at_fermi_per_ev_cell=8.99 sg="No. 12" pbc="T T T"
Sr 1.808 3.647 0.082
Sr 1.808 -0.280 5.004
Sr 0.000 5.375 2.556
Ca 1.808 0.000 0.000
Np 1.808 3.441 5.034
Np 0.000 1.655 2.526
N 0.000 4.937 5.077
N 1.808 3.294 2.838
N 1.808 0.159 2.483
N 0.000 1.777 0.444
N 1.808 3.319 7.116
N 0.000 1.801 4.723

Record 2
4
Lattice="-3.454 0.398 -2.789 0.456 -3.005 -0.994 -3.108 -3.287 3.380" Properties=species:S:1:pos:R:3 comment="Sc2MnAl PBE relaxed" energy_ev_per_atom=-6.574 dos_at_fermi_per_ev_cell=3.63 sg="No. 38" ef_ev_per_atom=-0.181 pbc="T T T"
Sc -2.477 -5.997 2.211
Sc -2.562 -1.667 -0.627
Mn -3.827 -3.971 0.611
Al -1.218 -3.696 0.980

Record 3
4
Lattice="-0.285 -3.896 2.050 2.818 1.405 3.061 -3.356 1.507 2.398" Properties=species:S:1:pos:R:3 comment="ErSn2Rh PBE relaxed" energy_ev_per_atom=-5.486 dos_at_fermi_per_ev_cell=1.24 sg="No. 123" ef_ev_per_atom=-0.506 pbc="T T T"
Rh -0.411 -0.492 3.755
Sn -1.678 0.754 1.199
Sn 1.409 0.703 1.530
Er -0.142 -1.948 1.025

Record 4
4
Lattice="6.597 0.034 0.111 5.531 3.596 0.111 2.247 0.672 6.241" Properties=species:S:1:pos:R:3 comment="SrLiLa2 PBE relaxed" energy_ev_per_atom=-3.204 dos_at_fermi_per_ev_cell=5.38 sg="No. 8" ef_ev_per_atom=0.159 pbc="T T T"
La 2.348 0.703 5.826
La 11.145 3.336 5.193
Li 6.850 2.050 2.825
Sr 3.467 1.038 2.090

Record 5
6
Lattice="-1.762 -2.562 -2.098 1.387 -2.729 2.168 -5.553 0.448 4.117" Properties=species:S:1:pos:R:3 comment="TmMnP PBE relaxed" energy_ev_per_atom=-7.275 dos_at_fermi_per_ev_cell=4.02 sg="No. 129" ef_ev_per_atom=-0.925 pbc="T T T"
Tm -3.971 -0.988 4.542
Tm -1.770 -1.209 -0.390
P -0.928 -1.234 2.286
P -4.813 -0.964 1.866
Mn -2.964 -2.421 2.093
Mn -2.777 0.224 2.058

Record 6
12
Lattice="-0.417 5.353 1.480 -3.264 -1.451 4.330 4.827 -0.800 3.371" Properties=species:S:1:pos:R:3 comment="Ti4GaC PBE relaxed" energy_ev_per_atom=-7.566 dos_at_fermi_per_ev_cell=11.35 sg="No. 14" ef_ev_per_atom=-0.261 pbc="T T T"
Ti -1.493 3.823 4.631
Ti 3.312 2.349 4.120
Ti 0.645 0.928 3.304
Ti 0.093 -0.776 5.955
Ti 2.638 -0.720 4.550
Ti -2.166 0.754 5.061
Ti 0.501 2.174 5.877
Ti 1.053 3.879 3.226
Ga 0.000 0.000 0.000
Ga -1.841 1.951 2.905
C 2.205 2.277 2.425
C 0.781 -1.126 3.850

Record 7
5
Lattice="6.313 0.000 0.000 0.000 4.605 0.000 0.000 0.000 6.313" Properties=species:S:1:pos:R:3 comment="K2TiCrIn PBE relaxed" energy_ev_per_atom=-3.420 dos_at_fermi_per_ev_cell=4.86 sg="No. 123" ef_ev_per_atom=1.070 pbc="T T T"
Cr 0.000 0.000 0.000
K 0.000 0.000 3.157
K 3.157 0.000 0.000
Ti 0.000 2.303 0.000
In 3.157 2.303 3.157

Record 8
4
Lattice="-1.866 -1.901 3.590 -4.445 -0.391 0.267 -1.915 -4.025 -0.343" Properties=species:S:1:pos:R:3 comment="TlPd2C PBE relaxed" energy_ev_per_atom=-4.278 dos_at_fermi_per_ev_cell=2.36 sg="No. 225" ef_ev_per_atom=1.216 pbc="T T T"
Tl -4.113 -3.159 1.757
C 0.000 0.000 0.000
Pd -2.056 -1.579 0.878
Pd -6.169 -4.738 2.635

Record 9
5
Lattice="-0.170 4.126 -4.026 1.168 -3.457 -3.593 -5.613 -1.038 -0.826" Properties=species:S:1:pos:R:3 comment="RbLiAs2Ru PBE relaxed" energy_ev_per_atom=-2.383 dos_at_fermi_per_ev_cell=6.40 sg="No. 123" ef_ev_per_atom=1.909 pbc="T T T"
Ru 0.584 -1.728 -1.796
As -2.806 -0.519 -0.413
As -0.085 2.063 -2.013
Rb 0.000 0.000 0.000
Li -2.308 -0.184 -4.222

Record 10
4
Lattice="-0.796 -0.292 2.630 0.835 -2.559 -0.628 7.720 1.895 2.547" Properties=species:S:1:pos:R:3 comment="ZrBeW2 PBE relaxed" energy_ev_per_atom=-9.319 dos_at_fermi_per_ev_cell=3.27 sg="No. 65" ef_ev_per_atom=0.226 pbc="T T T"
Be 5.809 -0.004 2.912
Zr 1.949 -0.951 1.638
W 7.358 1.807 2.428
W 4.221 1.036 1.393

Record 11
20
Lattice="3.571 0.000 0.000 0.000 9.870 0.000 0.000 0.000 9.870" Properties=species:S:1:pos:R:3 comment="Pr2Zn2GeRh5 PBE relaxed" energy_ev_per_atom=-5.885 dos_at_fermi_per_ev_cell=11.34 sg="No. 127" ef_ev_per_atom=-0.537 pbc="T T T"
Pr 0.000 6.655 1.720
Pr 0.000 3.216 8.151
Pr 0.000 1.720 3.216
Pr 0.000 8.151 6.655
Zn 0.000 1.239 6.174
Zn 0.000 8.632 3.697
Zn 0.000 6.174 8.632
Zn 0.000 3.697 1.239
Ge 0.000 0.000 0.000
Ge 0.000 4.935 4.935
Rh 1.785 1.959 0.593
Rh 1.785 7.912 9.278
Rh 1.785 0.593 7.912
Rh 1.785 6.894 4.342
Rh 1.785 9.278 1.959
Rh 1.785 2.976 5.528
Rh 1.785 5.528 6.894
Rh 1.785 4.342 2.976
Rh 1.785 4.935 0.000
Rh 1.785 0.000 4.935

Record 12
5
Lattice="4.802 0.000 0.000 0.000 4.802 0.000 0.000 0.000 4.802" Properties=species:S:1:pos:R:3 comment="Al3InPd PBE relaxed" energy_ev_per_atom=-3.875 dos_at_fermi_per_ev_cell=2.46 sg="No. 221" ef_ev_per_atom=-0.043 pbc="T T T"
Al 0.000 2.401 0.000
Al 0.000 0.000 2.401
Al 2.401 0.000 0.000
Pd 0.000 0.000 0.000
In 2.401 2.401 2.401

Record 13
11
Lattice="6.470 -0.325 -0.554 -0.420 4.500 0.399 -0.956 0.320 6.423" Properties=species:S:1:pos:R:3 comment="Li2Mg2Pd7 PBE relaxed" energy_ev_per_atom=-4.203 dos_at_fermi_per_ev_cell=5.27 sg="No. 12" ef_ev_per_atom=-0.260 pbc="T T T"
Li 4.344 1.138 1.445
Li 0.750 3.357 4.823
Mg 4.147 2.246 4.837
Mg 0.947 2.249 1.431
Pd -0.477 1.205 3.993
Pd 3.594 3.292 0.170
Pd 5.571 3.290 2.275
Pd 1.500 1.204 6.098
Pd 0.000 0.000 0.000
Pd 2.914 3.486 2.790
Pd 2.180 1.009 3.478

Record 14
11
Lattice="-6.161 -1.550 2.046 5.238 -3.536 2.145 1.059 6.313 4.668" Properties=species:S:1:pos:R:3 comment="Tl2Cr2SbSe6 PBE relaxed" energy_ev_per_atom=-4.909 dos_at_fermi_per_ev_cell=0.88 sg="No. 12" pbc="T T T"
Tl -4.371 -1.862 2.061
Tl 3.448 -3.224 2.130
Cr 1.978 0.281 4.446
Cr -1.841 0.946 4.413
Sb 0.530 3.156 2.334
Se 0.085 0.792 6.093
Se 2.557 2.760 4.202
Se 0.051 0.434 2.766
Se -1.544 3.475 4.166
Se -2.421 -1.534 4.657
Se 1.680 -2.248 4.693

Record 15
4
Lattice="5.427 -0.188 0.132 4.239 3.394 0.132 1.574 0.522 3.893" Properties=species:S:1:pos:R:3 comment="YCdRh2 PBE relaxed" energy_ev_per_atom=-5.944 dos_at_fermi_per_ev_cell=5.06 sg="No. 44" ef_ev_per_atom=-0.423 pbc="T T T"
Cd 8.379 2.779 3.140
Rh 9.607 3.186 0.291
Rh 2.873 0.953 1.011
Y 5.668 1.880 2.057

Record 16
4
Lattice="-2.348 -4.424 -1.513 4.451 -1.586 -2.246 0.998 -1.589 3.100" Properties=species:S:1:pos:R:3 comment="AlAgBr2 PBE relaxed" energy_ev_per_atom=-2.564 dos_at_fermi_per_ev_cell=0.44 sg="No. 65" pbc="T T T"
Br 0.000 0.000 0.000
Br 1.052 -3.005 -1.879
Ag -0.675 -3.007 0.794
Al 2.725 -1.588 0.427

Record 17
5
Lattice="-0.354 2.606 -4.621 -3.323 -3.719 -1.843 -4.135 2.766 1.876" Properties=species:S:1:pos:R:3 comment="Li3CaSc PBE relaxed" energy_ev_per_atom=-2.158 dos_at_fermi_per_ev_cell=9.03 sg="No. 221" ef_ev_per_atom=0.657 pbc="T T T"
Sc 0.000 0.000 0.000
Ca -3.906 0.827 -2.294
Li -1.662 -1.859 -0.922
Li -2.068 1.383 0.938
Li -0.177 1.303 -2.310

Record 18
4
Lattice="5.087 0.000 0.000 0.000 5.089 0.000 0.000 0.000 4.115" Properties=species:S:1:pos:R:3 comment="Sr2AsP PBE relaxed" energy_ev_per_atom=-4.142 dos_at_fermi_per_ev_cell=1.61 sg="No. 123" ef_ev_per_atom=-0.786 pbc="T T T"
As 2.544 0.000 2.058
P 0.000 2.544 2.058
Sr 0.000 0.000 0.000
Sr 2.544 2.544 0.000

Record 19
9
Lattice="-5.426 -4.103 -0.936 -4.255 -4.607 7.697 0.116 6.634 -0.424" Properties=species:S:1:pos:R:3 comment="Tb4Nd2SmHo2 PBE relaxed" energy_ev_per_atom=-4.579 dos_at_fermi_per_ev_cell=13.75 sg="No. 2" ef_ev_per_atom=0.080 pbc="T T T"
Tb -7.753 -5.759 6.041
Tb -6.541 -2.676 5.038
Tb -1.812 3.683 0.295
Tb -3.023 0.600 1.298
Nd -4.206 -0.148 4.555
Nd -5.359 -1.928 1.780
Sm 0.000 0.000 0.000
Ho -6.345 -5.188 2.635
Ho -3.220 3.111 3.701

Record 20
8
Lattice="-0.833 2.424 2.901 2.790 -4.445 4.515 6.577 1.443 0.683" Properties=species:S:1:pos:R:3 comment="PrYTm2S4 PBE relaxed" energy_ev_per_atom=-6.553 dos_at_fermi_per_ev_cell=4.15 sg="No. 10" pbc="T T T"
Pr 0.978 -1.011 3.708
Y 4.684 -1.501 2.599
Tm 6.577 1.443 0.683
Tm 2.872 1.933 1.792
S 6.991 -2.356 3.976
S 1.543 1.778 4.123
S 3.372 -1.820 5.071
S 5.162 1.242 3.027

Record 21
9
Lattice="-3.857 4.963 0.627 1.302 1.976 -7.632 -6.014 -4.912 1.885" Properties=species:S:1:pos:R:3 comment="Rb6Te2O PBE relaxed" energy_ev_per_atom=-2.881 sg="No. 164" pbc="T T T"
Rb -5.673 2.003 -4.632
Rb -2.744 4.395 -5.550
Rb -5.191 -1.405 -3.287
Rb -3.378 3.433 -1.833
Rb -5.825 -2.368 0.430
Rb -2.896 0.025 -0.488
Te -2.059 0.868 -4.309
Te -6.510 1.160 -0.810
O -1.929 2.482 0.314

Record 22
4
Lattice="1.889 0.000 7.875 -0.945 1.636 7.875 -0.945 -1.636 7.875" Properties=species:S:1:pos:R:3 comment="HfCSe2 PBE relaxed" energy_ev_per_atom=-5.510 dos_at_fermi_per_ev_cell=3.00 sg="No. 166" pbc="T T T"
C 0.000 0.000 11.813
Hf 0.000 0.000 0.000
Se 0.000 0.000 21.026
Se 0.000 0.000 2.600

Record 23
16
Lattice="6.069 0.000 0.000 0.000 7.572 0.000 0.000 0.000 8.077" Properties=species:S:1:pos:R:3 comment="Ba3TiO4 PBE relaxed" energy_ev_per_atom=-6.678 dos_at_fermi_per_ev_cell=3.87 sg="No. 31" pbc="T T T"
Ba 3.192 6.472 0.000
Ba 0.188 4.881 2.043
Ba 3.223 2.691 1.995
Ba 0.157 1.100 4.038
Ba 3.223 2.691 6.081
Ba 0.188 4.881 6.034
Ti 6.049 1.249 0.000
Ti 3.015 6.323 4.038
O 0.438 7.020 0.000
O 4.196 1.266 0.000
O 0.508 2.087 1.578
O 3.542 5.485 2.461
O 1.161 6.306 4.038
O 3.472 0.552 4.038
O 3.542 5.485 5.616
O 0.508 2.087 6.499

Record 24
6
Lattice="-1.517 1.325 5.355 -2.150 5.269 -0.589 -1.416 -4.687 -2.960" Properties=species:S:1:pos:R:3 comment="Ir2Br PBE relaxed" energy_ev_per_atom=-5.425 dos_at_fermi_per_ev_cell=10.11 sg="No. 140" pbc="T T T"
Ir -2.972 -0.218 -1.985
Ir -2.111 2.124 3.792
Ir -3.500 2.867 1.696
Ir -1.582 -0.960 0.111
Br -2.750 4.945 3.575
Br -0.917 1.648 1.192

Record 25
6
Lattice="1.426 5.080 -0.005 -1.426 5.080 -0.005 0.000 2.070 6.453" Properties=species:S:1:pos:R:3 comment="TaRe5 PBE relaxed" energy_ev_per_atom=-12.310 dos_at_fermi_per_ev_cell=4.55 sg="No. 8" ef_ev_per_atom=0.039 pbc="T T T"
Ta 0.000 4.897 6.052
Re 0.000 0.163 0.058
Re 0.000 6.796 1.813
Re 0.000 4.076 2.219
Re 0.000 10.783 3.815
Re 0.000 7.933 4.301

Record 26
6
Lattice="3.267 0.000 0.000 0.000 3.477 0.000 0.000 0.000 8.348" Properties=species:S:1:pos:R:3 comment="CuRhSe PBE relaxed" energy_ev_per_atom=-4.902 dos_at_fermi_per_ev_cell=3.72 sg="No. 38" pbc="T T T"
Rh 0.000 0.000 7.844
Rh 0.000 1.738 3.670
Cu 1.633 0.000 4.960
Cu 1.633 1.738 0.786
Se 0.000 0.000 1.946
Se 0.000 1.738 6.120